Crystalline Cs2MgH4 at its relaxed geometry, computed with PBEsol.

POSCAR file:
```
Cs2MgH4
1.0
-5.881 1.860 -1.791
-3.398 -5.253 5.702
0.250 8.249 7.747
Cs Mg H
8 4 16
direct
0.750 0.346 0.591
0.750 0.846 0.909
0.250 0.654 0.409
0.250 0.154 0.091
0.750 0.014 0.307
0.750 0.514 0.193
0.250 0.986 0.693
0.250 0.486 0.807
0.750 0.767 0.581
0.750 0.267 0.919
0.250 0.233 0.419
0.250 0.733 0.081
0.750 0.986 0.593
0.750 0.486 0.907
0.250 0.014 0.407
0.250 0.514 0.093
0.750 0.690 0.427
0.750 0.190 0.073
0.250 0.310 0.573
0.250 0.810 0.927
0.513 0.686 0.651
0.987 0.186 0.849
0.013 0.314 0.349
0.487 0.814 0.151
0.487 0.314 0.349
0.013 0.814 0.151
0.987 0.686 0.651
0.513 0.186 0.849
```

Properties
As for the total energy: -2.628 eV per atom. The calculation puts the polymorph energy (0 for the lowest one) at 0.030 eV/atom. Its total magnetic moment is 0.0000 μB/atom.